Material: TlInBiSb
Method: DFT, GGA-PBE
State: optimized geometry

Unit cell a=5.5190 b=5.5190 c=5.5190 alpha=60.00 beta=60.00 gamma=60.00
Last column: nearest neighbours and their distance in Å.
Fractional positions:
Sb (0.7500, 0.7500, 0.7500)  4 Bi 3.38, 4 In 3.38
Tl (0.2500, 0.2500, 0.2500)  4 In 3.38, 4 Bi 3.38
Bi (0.0000, 0.0000, 0.0000)  4 Sb 3.38, 4 Tl 3.38
In (0.5000, 0.5000, 0.5000)  4 Tl 3.38, 4 Sb 3.38

Properties
The total magnetization comes out at 0.00 μB/f.u. For the uncorrected formation energy, the calculation gives 0.279 eV per formula unit. Its space-group type is F-43m. As for the raw total energy: -12.8 eV for the cell shown.

Material: Zn2AsSe
Method: DFT, GGA-PBE
State: optimized geometry

Unit cell a=4.6917 b=4.6917 c=4.6917 alpha=60.00 beta=60.00 gamma=60.00
Last column: nearest neighbours and their distance in Å.
Fractional positions:
As (0.0000, 0.0000, 0.0000)  8 Zn 2.87
Zn (0.2500, 0.2500, 0.2500)  4 As 2.87, 4 Se 2.87
Zn (0.7500, 0.7500, 0.7500)  4 Se 2.87, 4 As 2.87
Se (0.5000, 0.5000, 0.5000)  8 Zn 2.87

Properties
The total magnetization comes out at 0.00 μB/f.u. For the uncorrected formation energy, the calculation gives 1.031 eV per formula unit. Its space-group type is Fm-3m. As for the raw total energy: -9.7 eV for the cell shown.